Computed, not measured: Ac3Pm8Sm after structural relaxation at the GGA-PBE level of DFT.

POSCAR file:
```
Ac3Pm8Sm
1.0
7.3888 0.6628 -5.1627
-3.0426 8.3873 -1.4430
-1.8169 -0.6628 8.8287
Ac Pm Sm
3 8 1
Direct
0.5000 0.7553 0.2553
0.5000 0.2447 0.7447
0.0000 0.5000 0.5000
0.4956 0.2392 0.2564
0.5044 0.7608 0.7436
0.0172 0.7608 0.2564
0.9828 0.2392 0.7436
0.1739 0.4215 0.2476
0.8261 0.0736 0.2476
0.8261 0.5785 0.7524
0.1739 0.9264 0.7524
0.0000 0.0000 0.0000
```

Summary:
- electronic total energy (eV per cell) = -52.24
- density (g/cm3) = 7.0
- space group = No. 71

=====

Computed, not measured: Ac3Pm6Sm2 after structural relaxation at the GGA-PBE level of DFT.

POSCAR file:
```
Ac3Pm6Sm2
1.0
-1.0464 -1.3800 3.3332
-1.8175 -3.2819 0.1871
28.1200 -17.5114 3.6940
Ac Pm Sm
3 6 2
Direct
0.0000 0.0000 0.0000
0.7287 0.7287 0.8138
0.2713 0.2713 0.1862
0.9068 0.9068 0.2797
0.0932 0.0932 0.7203
0.8186 0.8186 0.5443
0.1814 0.1814 0.4557
0.6357 0.6357 0.0930
0.3643 0.3643 0.9070
0.5441 0.5441 0.3676
0.4559 0.4559 0.6324
```

Summary:
- electronic total energy (eV per cell) = -49.87
- density (g/cm3) = 7.6
- space group = No. 166

=====

Computed, not measured: AcPm8Sm2 after structural relaxation at the GGA-PBE level of DFT.

POSCAR file:
```
AcPm8Sm2
1.0
5.4044 0.0000 -1.6410
-1.0436 7.7287 -3.4369
-0.0350 -0.4320 9.6043
Ac Pm Sm
1 8 2
Direct
0.5000 0.0000 0.0000
0.6444 0.8473 0.2887
0.3557 0.5585 0.7114
0.1596 0.1597 0.3192
0.0000 0.2971 0.0000
0.8404 0.8403 0.6808
0.6443 0.4415 0.2886
0.3556 0.1527 0.7113
0.0000 0.7029 0.0000
0.2002 0.7001 0.4004
0.7998 0.2999 0.5996
```

Summary:
- energy relative to the lowest polymorph listed for this composition (meV per atom) = 0
- density (g/cm3) = 7.2
- space group = No. 71

=====

Computed, not measured: AcPmSm after structural relaxation at the GGA-PBE level of DFT.

POSCAR file:
```
AcPmSm
1.0
-0.8355 -2.4460 -2.7646
3.6818 -0.3494 -0.8035
-0.8739 -4.5652 6.8938
Ac Sm Pm
1 1 1
Direct
0.0003 0.0003 0.0005
0.6717 0.6717 0.3434
0.3280 0.3280 0.6560
```

Summary:
- energy relative to the lowest polymorph listed for this composition (meV per atom) = 0
- density (g/cm3) = 7.7
- space group = No. 107

=====

Computed, not measured: AcPmSm2 after structural relaxation at the GGA-PBE level of DFT.

POSCAR file:
```
AcPmSm2
1.0
-3.8645 -0.5467 6.3554
0.8901 -6.4530 -0.0138
10.1759 1.3902 6.3072
Ac Pm Sm
4 4 8
Direct
0.1204 0.0814 0.0625
0.8796 0.9186 0.5625
0.6204 0.4186 0.5625
0.3796 0.5814 0.0625
0.6258 0.0822 0.0626
0.3742 0.9178 0.5626
0.1258 0.4178 0.5626
0.8742 0.5822 0.0626
0.1270 0.7451 0.8105
0.8730 0.2549 0.3105
0.6270 0.7549 0.3105
0.3730 0.2451 0.8105
0.1270 0.7451 0.3146
0.8730 0.2549 0.8146
0.6270 0.7549 0.8146
0.3730 0.2451 0.3146
```

Summary:
- energy relative to the lowest polymorph listed for this composition (meV per atom) = 4
- density (g/cm3) = 7.6
- space group = No. 62

=====

Computed, not measured: AcPm8Sm2 after structural relaxation at the GGA-PBE level of DFT.

POSCAR file:
```
AcPm8Sm2
1.0
6.5260 1.6838 1.4402
2.6205 9.5761 3.6694
2.6205 5.1095 8.8915
Ac Pm Sm
1 8 2
Direct
0.0000 0.0000 0.0000
0.7607 0.1768 0.6396
0.2393 0.3604 0.8232
0.8133 0.2393 0.2393
0.1867 0.7607 0.7607
0.7607 0.6396 0.1768
0.2393 0.8232 0.3604
0.2667 0.4090 0.4090
0.7333 0.5910 0.5910
0.3691 0.2105 0.2105
0.6309 0.7895 0.7895
```

Summary:
- energy relative to the lowest polymorph listed for this composition (meV per atom) = 35
- density (g/cm3) = 7.1
- space group = No. 12

=====

Computed, not measured: Ac2Pm5Sm12 after structural relaxation at the GGA-PBE level of DFT.

POSCAR file:
```
Ac2Pm5Sm12
1.0
11.8616 0.0000 0.0000
-5.9308 9.1232 1.2563
0.0000 -2.3085 5.8806
Ac Pm Sm
2 5 12
Direct
0.7769 0.0000 0.0000
0.2231 0.0000 0.0000
0.2164 0.4327 0.5427
0.3284 0.6569 0.1410
0.0000 0.0000 0.5000
0.6716 0.3431 0.8590
0.7836 0.5673 0.4573
0.1295 0.2590 0.9869
0.0506 0.5936 0.7955
0.5431 0.5936 0.7955
0.1457 0.7917 0.3938
0.6460 0.7917 0.3938
0.4407 0.8814 0.7144
0.5593 0.1186 0.2856
0.8543 0.2083 0.6062
0.3540 0.2083 0.6062
0.9494 0.4064 0.2045
0.4569 0.4064 0.2045
0.8705 0.7410 0.0131
```

Summary:
- energy relative to the lowest polymorph listed for this composition (meV per atom) = 0
- density (g/cm3) = 7.4
- space group = No. 12

=====

Computed, not measured: AcPm4Sm after structural relaxation at the GGA-PBE level of DFT.

POSCAR file:
```
AcPm4Sm
1.0
-8.2848 -2.8200 -3.4285
5.5973 -1.8848 -1.2731
0.6742 -4.5798 9.6704
Ac Pm Sm
2 8 2
Direct
0.4463 0.1963 0.8926
0.5537 0.8037 0.1074
0.4548 0.7048 0.4196
0.6409 0.8908 0.7695
0.0352 0.7852 0.5804
0.8714 0.6213 0.2305
0.5452 0.2952 0.5804
0.9648 0.2148 0.4196
0.3591 0.1092 0.2305
0.1286 0.3787 0.7695
0.9502 0.7002 0.9003
0.0498 0.2998 0.0997
```

Summary:
- energy relative to the lowest polymorph listed for this composition (meV per atom) = 155
- density (g/cm3) = 7.3
- space group = No. 15

=====

Computed, not measured: Ac8PmSm3 after structural relaxation at the GGA-PBE level of DFT.

POSCAR file:
```
Ac8PmSm3
1.0
7.8018 0.2203 -5.1216
-3.6049 8.5190 -1.2571
-1.6158 -0.2203 9.1918
Ac Pm Sm
8 1 3
Direct
0.4979 0.2338 0.2641
0.5021 0.7661 0.7359
0.0303 0.7662 0.2641
0.9697 0.2339 0.7359
0.1614 0.4132 0.2517
0.8386 0.0903 0.2518
0.8385 0.5868 0.7482
0.1615 0.9097 0.7483
0.0000 0.0000 0.0000
0.5000 0.7848 0.2848
0.5000 0.2152 0.7152
0.0000 0.5000 0.5000
```

Summary:
- electronic total energy (eV per cell) = -47.39
- density (g/cm3) = 7.4
- space group = No. 71

=====

Computed, not measured: Ac19Pm4Sm6 after structural relaxation at the GGA-PBE level of DFT.

POSCAR file:
```
Ac19Pm4Sm6
1.0
-2.0289 11.5018 1.4720
1.0638 -2.3587 -11.4838
-8.9792 -6.1704 4.4578
Ac Pm Sm
19 4 6
Direct
0.7342 0.0000 0.7342
0.2658 0.0000 0.2658
0.2658 0.2658 0.0000
0.7342 0.7342 0.0000
0.0000 0.7342 0.7342
0.0000 0.2658 0.2658
0.0000 0.0000 0.0000
0.2139 0.2195 0.5571
0.7861 0.3432 0.0056
0.6624 0.6568 0.4429
0.0056 0.7861 0.3432
0.3376 0.7805 0.9944
0.5571 0.2139 0.2195
0.9944 0.3376 0.7805
0.4429 0.6624 0.6568
0.7805 0.9944 0.3376
0.3432 0.0056 0.7861
0.2195 0.5571 0.2139
0.6568 0.4429 0.6624
0.0000 0.0000 0.6461
0.0000 0.6461 0.0000
0.3539 0.3539 0.3539
0.6461 0.0000 0.0000
0.3845 0.5000 0.8845
0.6155 0.5000 0.1155
0.1155 0.6155 0.5000
0.8845 0.3845 0.5000
0.5000 0.8845 0.3845
0.5000 0.1155 0.6155
```

Summary:
- electronic total energy (eV per cell) = -115.17
- density (g/cm3) = 7.7
- space group = No. 197

=====

Computed, not measured: Ac5Pm4Sm2 after structural relaxation at the GGA-PBE level of DFT.

POSCAR file:
```
Ac5Pm4Sm2
1.0
-2.4389 -2.6163 -0.9896
9.4666 -8.1011 -1.9131
-10.3693 5.5571 10.8635
Ac Pm Sm
5 4 2
Direct
0.0000 0.5968 0.2809
0.0000 0.2234 0.1986
0.0000 0.5000 0.0000
0.0000 0.7766 0.8014
0.0000 0.4032 0.7191
0.5000 0.6822 0.5378
0.5000 0.1562 0.9235
0.5000 0.3178 0.4622
0.5000 0.8438 0.0765
0.0000 0.0300 0.6503
0.0000 0.9700 0.3497
```

Summary:
- electronic total energy (eV per cell) = -47.33
- density (g/cm3) = 7.7
- space group = No. 10

=====

Computed, not measured: AcPm3Sm2 after structural relaxation at the GGA-PBE level of DFT.

POSCAR file:
```
AcPm3Sm2
1.0
-1.5391 -0.1427 -3.3830
7.1450 1.6997 0.7696
-4.9606 -10.4636 -1.3798
Ac Pm Sm
1 3 2
Direct
0.0000 0.0000 0.0000
0.0000 0.5000 0.0000
0.3317 0.1700 0.3390
0.6683 0.8300 0.6610
0.6649 0.3282 0.6634
0.3351 0.6718 0.3366
```

Summary:
- energy relative to the lowest polymorph listed for this composition (meV per atom) = 0
- density (g/cm3) = 7.4
- space group = No. 2

=====

Computed, not measured: Ac2Pm7Sm3 after structural relaxation at the GGA-PBE level of DFT.

POSCAR file:
```
Ac2Pm7Sm3
1.0
3.7107 0.0000 0.0000
0.0000 6.0624 0.0000
0.0000 -3.0312 19.5039
Ac Pm Sm
2 7 3
Direct
0.0000 0.8239 0.6478
0.0000 0.1761 0.3522
0.0000 0.4284 0.8569
0.0000 0.7282 0.4563
0.0000 0.0000 0.0000
0.0000 0.5716 0.1431
0.5000 0.0874 0.1748
0.5000 0.9126 0.8252
0.0000 0.2718 0.5437
0.5000 0.5000 0.0000
0.5000 0.6475 0.2950
0.5000 0.3525 0.7050
```

Summary:
- energy relative to the lowest polymorph listed for this composition (meV per atom) = 64
- density (g/cm3) = 7.3
- space group = No. 65

=====

Computed, not measured: Ac2Pm5Sm2 after structural relaxation at the GGA-PBE level of DFT.

POSCAR file:
```
Ac2Pm5Sm2
1.0
1.0103 2.6290 -2.4534
2.4491 -7.2582 -9.6599
-6.4938 -8.0047 -5.6291
Ac Pm Sm
2 5 2
Direct
0.7771 0.6660 0.1107
0.2229 0.3340 0.8893
0.1059 0.6709 0.4412
0.8941 0.3291 0.5588
0.4338 0.6747 0.7714
0.5662 0.3253 0.2286
0.0000 0.0000 0.0000
0.6592 0.0046 0.6608
0.3408 0.9954 0.3392
```

Summary:
- energy relative to the lowest polymorph listed for this composition (meV per atom) = 0
- density (g/cm3) = 7.5
- space group = No. 2

=====

Computed, not measured: Ac2Pm4Sm after structural relaxation at the GGA-PBE level of DFT.

POSCAR file:
```
Ac2Pm4Sm
1.0
5.3328 0.0000 0.0000
2.6664 5.8571 -0.5353
0.0000 -0.4667 8.3818
Ac Pm Sm
2 4 1
Direct
0.7118 0.5764 0.8529
0.2882 0.4236 0.1471
0.4274 0.1452 0.7055
0.1403 0.7194 0.5724
0.5726 0.8548 0.2945
0.8597 0.2806 0.4276
0.0000 0.0000 0.0000
```

Summary:
- energy relative to the lowest polymorph listed for this composition (meV per atom) = 0
- density (g/cm3) = 7.6
- space group = No. 12

=====

Computed, not measured: Ac4Pm4Sm3 after structural relaxation at the GGA-PBE level of DFT.

POSCAR file:
```
Ac4Pm4Sm3
1.0
-0.9217 3.5209 -1.0063
-7.4721 -3.4159 -5.1081
-2.7241 0.8558 12.5738
Ac Pm Sm
4 4 3
Direct
0.7431 0.2431 0.4862
0.2569 0.7569 0.5138
0.5000 0.8150 0.0000
0.5000 0.1850 0.0000
0.6368 0.4651 0.2737
0.3632 0.1914 0.7263
0.3632 0.5349 0.7263
0.6368 0.8086 0.2737
0.8873 0.8873 0.7746
0.1127 0.1127 0.2254
0.0000 0.5000 0.0000
```

Summary:
- electronic total energy (eV per cell) = -47.64
- density (g/cm3) = 7.5
- space group = No. 71

=====

Computed, not measured: AcPm2Sm2 after structural relaxation at the GGA-PBE level of DFT.

POSCAR file:
```
AcPm2Sm2
1.0
-0.5799 -1.5260 -4.0007
-0.2608 -4.0171 1.5701
-9.1264 3.7817 2.2138
Ac Pm Sm
1 2 2
Direct
0.0000 0.0000 0.0000
0.7996 0.7996 0.5992
0.2004 0.2004 0.4008
0.6102 0.6102 0.2203
0.3898 0.3898 0.7797
```

Summary:
- energy relative to the lowest polymorph listed for this composition (meV per atom) = 79
- density (g/cm3) = 7.5
- space group = No. 139

=====

Computed, not measured: AcPm3Sm7 after structural relaxation at the GGA-PBE level of DFT.

POSCAR file:
```
AcPm3Sm7
1.0
6.6067 0.0240 0.4516
0.4343 7.7165 1.1433
0.0062 0.0864 7.8124
Ac Pm Sm
1 3 7
Direct
0.5000 0.5000 0.5000
0.0000 0.8267 0.1733
0.5000 0.0000 0.0000
0.0000 0.1733 0.8267
0.7980 0.2341 0.2341
0.7409 0.9241 0.5747
0.2591 0.4253 0.0759
0.7409 0.5747 0.9241
0.0000 0.5000 0.5000
0.2591 0.0759 0.4253
0.2020 0.7659 0.7659
```

Summary:
- energy relative to the lowest polymorph listed for this composition (meV per atom) = 0
- density (g/cm3) = 7.2
- space group = No. 12

=====

Computed, not measured: Ac5Pm5Sm2 after structural relaxation at the GGA-PBE level of DFT.

POSCAR file:
```
Ac5Pm5Sm2
1.0
5.8389 0.0000 1.2477
2.5464 8.8633 2.3695
1.0450 1.3487 9.3957
Ac Pm Sm
5 5 2
Direct
0.8782 0.7848 0.4588
0.2517 0.7416 0.7550
0.7483 0.2584 0.2450
0.1218 0.2152 0.5412
0.0000 0.0000 0.0000
0.5000 0.5000 0.5000
0.3767 0.2936 0.9531
0.3778 0.9614 0.2831
0.6222 0.0386 0.7169
0.6233 0.7064 0.0469
0.8745 0.4532 0.7978
0.1255 0.5468 0.2022
```

Summary:
- electronic total energy (eV per cell) = -52.88
- density (g/cm3) = 7.8
- space group = No. 12

=====

Computed, not measured: Ac7PmSm4 after structural relaxation at the GGA-PBE level of DFT.

POSCAR file:
```
Ac7PmSm4
1.0
0.1216 2.3165 7.3187
5.3088 -1.7005 8.5388
8.4812 5.6059 0.2127
Ac Pm Sm
7 1 4
Direct
0.7447 0.5042 0.0021
0.2553 0.4958 0.9979
0.0034 0.3301 0.6651
0.9966 0.6699 0.3349
0.2482 0.8342 0.6627
0.5000 0.0000 0.0000
0.7518 0.1658 0.3373
0.0000 0.0000 0.0000
0.5023 0.6646 0.3335
0.4977 0.3354 0.6665
0.7512 0.8336 0.6647
0.2488 0.1664 0.3353
```

Summary:
- electronic total energy (eV per cell) = -51.83
- density (g/cm3) = 8.0
- space group = No. 2